# NaAcPdPb (PBE-GGA, relaxed)
# DOS at the Fermi energy: 0.192 states/eV/atom
# E_form: -40.2 kJ per mole of atoms
data_NaAcPdPb
_chemical_formula_sum 'Na4 Ac4 Pd4 Pb4'
_space_group_name_H-M_alt 'F -4 3 m'
_space_group_IT_number 216
_space_group_name_Hall 'F -4 2 3'
_cell_length_a 7.4070
_cell_length_b 7.4070
_cell_length_c 7.4070
_cell_angle_alpha 90.00
_cell_angle_beta 90.00
_cell_angle_gamma 90.00
loop_
_atom_site_label
_atom_site_fract_x
_atom_site_fract_y
_atom_site_fract_z
Na1 0.0000 0.0000 0.0000
Ac1 0.2500 0.2500 0.2500
Pd1 0.0000 0.0000 0.5000
Pb1 0.2500 0.2500 0.7500


# NaAc2Pd4Pb3 (PBE-GGA, relaxed)
# DOS at the Fermi energy: 0.461 states/eV/atom
# E_form: -49.3 kJ per mole of atoms
data_NaAc2Pd4Pb3
_chemical_formula_sum 'Na1 Ac2 Pd4 Pb3'
_space_group_name_H-M_alt 'P -4 m 2'
_space_group_IT_number 115
_cell_length_a 4.7039
_cell_length_b 4.7039
_cell_length_c 11.4848
_cell_angle_alpha 90.00
_cell_angle_beta 90.00
_cell_angle_gamma 90.00
loop_
_space_group_symop_operation_xyz
'x,y,z'
'y,-x,-z'
'-x,-y,z'
'-y,x,-z'
'-x,y,z'
'-y,-x,-z'
'x,-y,z'
'y,x,-z'
loop_
_atom_site_label
_atom_site_fract_x
_atom_site_fract_y
_atom_site_fract_z
Na1 0.0000 0.0000 0.0000
Ac1 0.0000 0.5000 0.7348
Pd1 0.0000 0.0000 0.5000
Pd2 0.0000 0.5000 0.1399
Pd3 0.5000 0.5000 0.5000
Pb1 0.0000 0.5000 0.3756
Pb2 0.5000 0.5000 0.0000


# NaAcPmPb (PBE-GGA, relaxed)
# DOS at the Fermi energy: 0.737 states/eV/atom
# E_form: -18.6 kJ per mole of atoms
data_NaAcPmPb
_chemical_formula_sum 'Na4 Ac4 Pm4 Pb4'
_space_group_name_H-M_alt 'F -4 3 m'
_space_group_IT_number 216
_space_group_name_Hall 'F -4 2 3'
_cell_length_a 8.0855
_cell_length_b 8.0855
_cell_length_c 8.0855
_cell_angle_alpha 90.00
_cell_angle_beta 90.00
_cell_angle_gamma 90.00
loop_
_atom_site_label
_atom_site_fract_x
_atom_site_fract_y
_atom_site_fract_z
Na1 0.0000 0.0000 0.0000
Ac1 0.2500 0.2500 0.2500
Pm1 0.2500 0.2500 0.7500
Pb1 0.0000 0.0000 0.5000


# NaAcPrPb (PBE-GGA, relaxed)
# DOS at the Fermi energy: 0.686 states/eV/atom
# E_form: -20.8 kJ per mole of atoms
data_NaAcPrPb
_chemical_formula_sum 'Na4 Ac4 Pr4 Pb4'
_space_group_name_H-M_alt 'F -4 3 m'
_space_group_IT_number 216
_space_group_name_Hall 'F -4 2 3'
_cell_length_a 8.1342
_cell_length_b 8.1342
_cell_length_c 8.1342
_cell_angle_alpha 90.00
_cell_angle_beta 90.00
_cell_angle_gamma 90.00
loop_
_atom_site_label
_atom_site_fract_x
_atom_site_fract_y
_atom_site_fract_z
Na1 0.0000 0.0000 0.0000
Ac1 0.2500 0.2500 0.7500
Pr1 0.2500 0.2500 0.2500
Pb1 0.0000 0.0000 0.5000


Result set for E: -3.999 -4.654 -3.665 -3.694 eV/atom, one per record in the order listed.